No. 1
The following is a PBE calculation of a geometry-optimized CsTlZn2I6 structure, from Alexandria via LeMat-Bulk.

Structure (POSCAR):
```
CsTlZn2I6
1.0
10.177 -1.061 0.158
-2.299 9.971 0.158
-2.139 -2.419 10.843
I Zn Cs Tl
12 4 2 2
Direct
0.194 0.194 0.611
0.334 0.563 0.417
0.194 0.194 0.111
0.437 0.666 0.083
0.666 0.437 0.583
0.559 0.083 0.323
0.806 0.806 0.889
0.806 0.806 0.389
0.441 0.917 0.677
0.917 0.441 0.177
0.563 0.334 0.917
0.083 0.559 0.823
0.143 0.393 0.236
0.607 0.857 0.264
0.857 0.607 0.764
0.393 0.143 0.736
0.155 0.845 0.250
0.845 0.155 0.750
0.444 0.556 0.750
0.556 0.444 0.250
```

As for the space group: C2/c (15). As for the total magnetization: 0.00 μB per formula unit. The calculation puts the formation energy from raw total energies at -7.559 eV per formula unit. The calculation puts the volume at 54.12 Å³/atom.

No. 2
The following is a PBE calculation of a geometry-optimized YSiAg2 structure, from Alexandria via LeMat-Bulk.

Structure (POSCAR):
```
YSiAg2
1.0
-1.122 -2.848 -3.730
5.946 0.343 1.010
0.735 -2.705 1.722
Si Ag Y
1 2 1
Direct
0.000 0.500 0.500
0.000 0.000 0.000
0.500 0.000 0.500
0.500 0.500 0.000
```

As for the space group: C2/m (12). As for the total magnetization: 0.00 μB per formula unit. The calculation puts the formation energy from raw total energies at -0.067 eV per formula unit. The calculation puts the volume at 21.06 Å³/atom.

No. 3
The following is a PBE calculation of a geometry-optimized Tb2MgHg4 structure, from Alexandria via LeMat-Bulk.

Structure (POSCAR):
```
Tb2MgHg4
1.0
-4.205 -2.971 0.662
1.719 -1.384 4.699
-2.473 8.131 0.433
Mg Hg Tb
1 4 2
Direct
0.000 0.000 0.000
0.500 0.000 0.000
0.187 0.187 0.374
0.813 0.813 0.626
0.000 0.500 0.000
0.616 0.616 0.231
0.384 0.384 0.769
```

The calculation puts the energy of formation at -0.06 eV per atom. As for the space group: I4/mmm (139). As for the total magnetization: 0.00 μB per formula unit. The calculation puts the volume at 29.56 Å³/atom.

No. 4
The following is a PBE calculation of a geometry-optimized BaNi2Pb structure, from Alexandria via LeMat-Bulk.

Structure (POSCAR):
```
BaNi2Pb
1.0
6.022 -0.041 0.000
3.128 5.146 0.000
-4.575 -2.552 2.970
Ba Ni Pb
1 2 1
Direct
0.750 0.250 0.500
0.000 0.000 0.000
0.250 0.750 0.500
0.500 0.500 0.000
```

The calculation puts the energy of formation at 0.43 eV per atom. As for the space group: I-4m2 (119). As for the total magnetization: 0.00 μB per formula unit. The calculation puts the volume at 23.10 Å³/atom.

No. 5
The following is a PBE calculation of a geometry-optimized Sc7Zn2Pd2 structure, from Alexandria via LeMat-Bulk.

Structure (POSCAR):
```
Sc7Zn2Pd2
1.0
-0.995 6.005 -1.234
0.071 -1.345 -6.604
-5.481 -2.873 0.526
Sc Zn Pd
7 2 2
Direct
0.500 0.273 0.000
0.500 0.734 0.500
0.000 0.000 0.000
0.500 0.266 0.500
0.500 0.727 0.000
0.000 0.273 0.500
0.000 0.727 0.500
0.171 0.500 0.171
0.829 0.500 0.829
0.292 0.000 0.708
0.708 0.000 0.292
```

The calculation puts the energy of formation at -0.22 eV per atom. As for the space group: Cmmm (65). As for the total magnetization: 0.00 μB per formula unit. The calculation puts the volume at 22.37 Å³/atom.

No. 6
The following is a PBE calculation of a geometry-optimized LaIN2F structure, from Alexandria via LeMat-Bulk.

Structure (POSCAR):
```
LaIN2F
1.0
-1.002 2.903 -2.866
-0.041 -2.958 -2.982
-6.894 -1.155 1.241
La N I F
1 2 1 1
Direct
0.000 0.000 0.000
0.000 0.500 0.000
0.500 0.000 0.000
0.000 0.000 0.500
0.500 0.500 0.500
```

As for the space group: P4/mmm (123). As for the total magnetization: 0.17 μB per formula unit. The calculation puts the formation energy from raw total energies at 3.206 eV per formula unit. The calculation puts the volume at 25.06 Å³/atom.

No. 7
The following is a PBE calculation of a geometry-optimized Ac8PRh3S4 structure, from Alexandria via LeMat-Bulk.

Structure (POSCAR):
```
Ac8PRh3S4
1.0
-0.407 8.509 -1.439
-6.768 0.651 5.765
7.407 -3.587 2.628
Ac P S Rh
8 1 4 3
Direct
0.739 0.734 0.986
0.747 0.739 0.493
0.261 0.266 0.014
0.753 0.266 0.505
0.753 0.266 0.014
0.253 0.261 0.507
0.247 0.734 0.495
0.247 0.734 0.986
0.000 0.500 0.000
0.000 0.000 0.500
0.500 0.000 0.000
0.000 0.000 0.000
0.500 0.000 0.500
0.500 0.500 0.000
0.000 0.500 0.500
0.500 0.500 0.500
```

As for the space group: R-3m (166). As for the total magnetization: 0.00 μB per formula unit. The calculation puts the formation energy from raw total energies at -22.257 eV per formula unit. The calculation puts the volume at 29.85 Å³/atom.

No. 8
The following is a PBE calculation of a geometry-optimized LiAgCl2 structure, from Alexandria via LeMat-Bulk.

Structure (POSCAR):
```
LiAgCl2
1.0
3.715 0.000 0.000
1.857 3.217 0.000
1.857 1.072 6.799
Li Cl Ag
1 2 1
Direct
0.500 0.500 0.501
0.246 0.246 0.263
0.088 0.088 0.737
0.667 0.667 0.000
```

As for the space group: R3m (160). As for the total magnetization: 0.00 μB per formula unit. The calculation puts the formation energy from raw total energies at -4.139 eV per formula unit. The calculation puts the volume at 20.32 Å³/atom.

No. 9
The following is a PBE calculation of a geometry-optimized NdYCo structure, from Alexandria via LeMat-Bulk.

Structure (POSCAR):
```
NdYCo
1.0
3.425 0.005 0.001
-0.017 6.894 0.032
-1.710 -1.780 6.455
Y Nd Co
2 2 2
Direct
0.565 0.114 0.897
0.313 0.990 0.392
0.311 0.486 0.388
0.567 0.618 0.901
0.940 0.292 0.647
0.938 0.812 0.642
```

The calculation puts the energy of formation at -0.03 eV per atom. As for the space group: C2/m (12). As for the total magnetization: 0.68 μB per formula unit. The calculation puts the volume at 25.44 Å³/atom.

No. 10
The following is a PBE calculation of a geometry-optimized Sr2SnHg structure, from Alexandria via LeMat-Bulk.

Structure (POSCAR):
```
Sr2SnHg
1.0
-0.425 -1.177 3.803
-0.265 -5.471 -1.723
5.703 -0.435 0.503
Sr Sn Hg
2 1 1
Direct
0.000 0.000 0.500
0.000 0.500 0.000
0.500 0.000 0.000
0.500 0.500 0.500
```

The calculation puts the energy of formation at -0.61 eV per atom. As for the space group: P4/mmm (123). As for the total magnetization: 0.00 μB per formula unit. The calculation puts the volume at 32.99 Å³/atom.

No. 11
The following is a PBE calculation of a geometry-optimized Li6AgSb5 structure, from Alexandria via LeMat-Bulk.

Structure (POSCAR):
```
Li6AgSb5
1.0
5.104 0.268 -0.897
-0.654 5.712 -2.086
1.022 0.110 8.274
Sb Li Ag
5 6 1
Direct
0.000 0.500 0.000
0.685 0.665 0.336
0.315 0.335 0.664
0.682 0.142 0.297
0.318 0.858 0.703
0.499 0.740 0.003
0.501 0.260 0.997
0.817 0.089 0.663
0.818 0.588 0.672
0.182 0.412 0.328
0.183 0.911 0.337
0.000 0.000 0.000
```

As for the space group: P-1 (2). As for the total magnetization: 0.00 μB per formula unit. The calculation puts the formation energy from raw total energies at -4.793 eV per formula unit. The calculation puts the volume at 20.72 Å³/atom.

No. 12
The following is a PBE calculation of a geometry-optimized Mg7In2Pt2 structure, from Alexandria via LeMat-Bulk.

Structure (POSCAR):
```
Mg7In2Pt2
1.0
-3.793 -3.763 -3.423
5.311 -2.817 -2.789
0.889 -3.493 5.222
Mg Pt In
7 2 2
Direct
0.500 0.229 0.500
0.000 0.000 0.000
0.500 0.771 0.500
0.500 0.749 0.000
0.000 0.749 0.500
0.000 0.251 0.500
0.500 0.251 0.000
0.724 0.000 0.276
0.276 0.000 0.724
0.818 0.500 0.818
0.182 0.500 0.182
```

The calculation puts the energy of formation at -0.29 eV per atom. As for the space group: Cmmm (65). As for the total magnetization: 0.00 μB per formula unit. The calculation puts the volume at 23.77 Å³/atom.

No. 13
The following is a PBE calculation of a geometry-optimized TaReTcGe structure, from Alexandria via LeMat-Bulk.

Structure (POSCAR):
```
TaReTcGe
1.0
-0.408 3.938 2.004
-1.581 0.230 4.140
2.703 1.075 3.351
Re Ta Tc Ge
1 1 1 1
Direct
0.750 0.750 0.750
0.500 0.500 0.500
0.250 0.250 0.250
0.000 0.000 0.000
```

The calculation puts the energy of formation at -0.15 eV per atom. As for the space group: F-43m (216). As for the total magnetization: 0.00 μB per formula unit. The calculation puts the volume at 15.45 Å³/atom.